## Rb3Te5O12 (PBE-GGA)

Data for crystalline Rb3Te5O12 at its relaxed geometry.

Structure (extended XYZ):
```
80
Lattice="-6.606 0.873 -10.471 5.898 -10.917 0.273 -7.605 0.839 9.772" Properties=species:S:1:pos:R:3 pbc="T T T"
O -0.461 -6.901 3.951
O -8.844 0.998 3.880
O -3.018 -1.429 -4.137
O -2.844 -4.760 4.167
O 0.530 -10.204 -4.306
O -6.815 -0.254 1.509
O -1.499 -8.952 -1.935
O -8.195 -2.290 3.611
O -0.595 -1.009 -1.843
O -0.869 -3.880 -3.310
O -4.851 -7.735 -4.271
O -5.837 -3.676 4.745
O -2.159 -4.815 0.644
O -7.823 -0.873 -1.475
O -10.073 0.144 -3.758
O 2.274 -7.226 -0.954
O -7.719 -8.197 1.418
O -5.922 -0.088 4.747
O -4.981 -6.335 0.831
O -3.333 -2.871 -1.257
O -0.779 -1.771 1.013
O -10.489 -2.732 -2.335
O 0.864 -10.271 -0.733
O -10.588 -1.979 0.528
O -7.853 -2.304 -4.377
O 2.176 -6.474 1.909
O -0.130 -4.052 3.214
O -6.155 -4.390 -1.069
O -7.535 -7.434 -1.438
O -3.463 -1.471 3.846
O 3.137 -9.500 -3.088
O -7.445 -5.326 2.884
O -5.296 -7.776 3.711
O -2.477 -5.529 -5.171
O -9.320 -4.743 -0.502
O -9.178 1.066 0.307
O 3.959 -9.921 0.145
O -2.391 -9.118 -5.173
O -5.470 -4.446 -4.592
O -12.273 0.715 -0.571
O -11.451 0.294 2.663
O -0.119 -6.916 -4.037
O 1.006 -4.462 0.076
O 1.759 -9.349 3.332
O -8.184 -5.154 -3.640
O -0.491 -8.333 1.050
O -4.630 -3.499 1.612
O -3.684 -5.706 -2.037
Rb -4.620 -5.871 6.104
Rb -3.694 -3.334 -6.529
Rb -2.308 -7.319 -7.736
Rb -6.006 -1.886 7.310
Rb -5.507 -1.869 -2.811
Rb -4.547 -8.374 -1.507
Rb -7.621 -2.919 0.887
Rb -6.945 -0.391 -6.685
Rb -0.693 -6.286 -1.313
Rb -1.369 -8.814 6.259
Rb -2.807 -7.336 2.386
Rb -3.766 -0.832 1.081
Te -6.360 -6.908 2.211
Te 2.558 -9.229 -1.158
Te -7.106 0.856 -0.349
Te -7.444 -0.408 3.437
Te -4.121 -5.854 -4.018
Te -3.803 0.419 4.886
Te -0.870 -8.797 -3.863
Te -0.354 -5.022 -5.099
Te 0.000 0.000 0.000
Te 2.949 -5.459 0.136
Te -9.060 -1.441 -2.986
Te -10.872 0.024 0.732
Te -0.854 -5.039 5.023
Te 0.746 -7.764 2.560
Te -7.798 -5.430 -1.662
Te -4.157 -4.603 -0.213
Te -3.303 0.436 -5.235
Te -0.515 -3.775 1.236
Te -4.193 -3.352 3.592
Te -1.954 -2.297 -2.637
```

Calculated values
theoretical density: 4.9 g/cm³
VASP energy: -4.954 eV per atom
uncorrected formation energy: -1.05 eV per atom
SG: Ia-3d, No. 230



## RbTeO3 (PBE-GGA)

Data for crystalline RbTeO3 at its relaxed geometry.

Structure (extended XYZ):
```
5
Lattice="-1.276 -3.915 -1.455 4.174 -1.140 -0.592 0.151 -1.563 4.075" Properties=species:S:1:pos:R:3 pbc="T T T"
O 2.087 -0.570 -0.296
O -0.638 -1.957 -0.727
O 0.076 -0.782 2.037
Te 1.525 -3.309 1.014
Rb 0.000 0.000 0.000
```

Calculated values
theoretical density: 5.2 g/cm³
VASP energy: -2.705 eV per atom
uncorrected formation energy: 1.09 eV per atom
SG: Pm-3m, No. 221